Here is an optimized crystal structure of Be2GaAu7 from Alexandria via LeMat-Bulk. Energies are from GGA-PBE.

## Properties
calculated formation energy	-98	meV/atom

abc: 4.100 4.100 19.882
angles: 90.00 90.00 90.00
Space group I4/mmm (No. 139)
Symmetry-distinct sites (fractional):
Be (0.000, 0.000, 0.176) (multiplicity 4)
Ga (0.000, 0.000, 0.500) (multiplicity 2)
Au (0.000, 0.000, 0.000) (multiplicity 2)
Au (0.000, 0.500, 0.107) (multiplicity 8)
Au (0.000, 0.500, 0.250) (multiplicity 4)